## Li4Bi2O5 (GGA-PBEsol)

Data for an optimized crystal structure of Li4Bi2O5.

Lattice parameters (Å, degrees): 5.4938 7.5219 7.6829 89.70 70.53 71.04
Space group P-1 (No. 2)
One atom of each set of equivalent atoms:
Li (0.1233, 0.1704, 0.1697) [2 per cell]
Li (0.1321, 0.8185, 0.4699) [2 per cell]
Li (0.1575, 0.4967, 0.8486) [2 per cell]
Li (0.2699, 0.7541, 0.0894) [2 per cell]
Bi (0.3321, 0.0859, 0.7476) [2 per cell]
Bi (0.3493, 0.3845, 0.3827) [2 per cell]
O (0.0288, 0.0103, 0.6863) [2 per cell]
O (0.0343, 0.2872, 0.9629) [2 per cell]
O (0.0366, 0.6066, 0.6351) [2 per cell]
O (0.4358, 0.6127, 0.2576) [2 per cell]
O (0.4854, 0.8427, 0.8767) [2 per cell]

Calculated values
E_form (uncorrected): -17.482 eV per formula unit
calculated density: 6209 kg/m3



## Li2BiO3 (GGA-PBEsol)

Data for an optimized crystal structure of Li2BiO3.

Lattice parameters (Å, degrees): 5.7093 5.7044 9.3564 90.00 90.00 90.00
Space group Pnna (No. 52)
One atom of each set of equivalent atoms:
Li (0.0000, 0.0000, 0.0000) [4 per cell]
Li (0.2460, 0.2500, 0.2500) [4 per cell]
Bi (0.2500, 0.0000, 0.6003) [4 per cell]
O (0.0856, 0.7133, 0.0763) [8 per cell]
O (0.0902, 0.7500, 0.7500) [4 per cell]

Calculated values
E_form (uncorrected): -8.751 eV per formula unit
calculated density: 5904 kg/m3



## LiBi3O6 (GGA-PBEsol)

Data for an optimized crystal structure of LiBi3O6.

Lattice parameters (Å, degrees): 10.6708 10.6708 10.6708 90.00 90.00 90.00
Space group I2_13 (No. 199)
One atom of each set of equivalent atoms:
Li (0.0156, 0.4844, 0.5156) [8 per cell]
Bi (0.0000, 0.2500, 0.2870) [12 per cell]
Bi (0.0000, 0.2500, 0.7868) [12 per cell]
O (0.0927, 0.1260, 0.6305) [24 per cell]
O (0.1044, 0.3375, 0.1352) [24 per cell]

Calculated values
E_form (uncorrected): -11.684 eV per formula unit
calculated density: 7980 kg/m3



## Li2BiO3 (GGA-PBEsol)

Data for an optimized crystal structure of Li2BiO3.

Lattice parameters (Å, degrees): 9.8760 5.4614 5.5464 90.00 90.00 90.00
Space group Cmc2_1 (No. 36)
One atom of each set of equivalent atoms:
Li (0.1795, 0.2040, 0.0000) [8 per cell]
Bi (0.0000, 0.2602, 0.4803) [4 per cell]
O (0.0000, 0.3656, 0.0880) [4 per cell]
O (0.1692, 0.1187, 0.6555) [8 per cell]

Calculated values
E_form (uncorrected): -8.569 eV per formula unit
calculated density: 6014 kg/m3



Look up the calculated density of the second one.
5904 kg/m3



E_form (uncorrected) of number 4 (Li2BiO3)?
-8.569 eV per formula unit



Repeat the second record exactly.
## Li2BiO3 (GGA-PBEsol)

Data for an optimized crystal structure of Li2BiO3.

Lattice parameters (Å, degrees): 5.7093 5.7044 9.3564 90.00 90.00 90.00
Space group Pnna (No. 52)
One atom of each set of equivalent atoms:
Li (0.0000, 0.0000, 0.0000) [4 per cell]
Li (0.2460, 0.2500, 0.2500) [4 per cell]
Bi (0.2500, 0.0000, 0.6003) [4 per cell]
O (0.0856, 0.7133, 0.0763) [8 per cell]
O (0.0902, 0.7500, 0.7500) [4 per cell]

Calculated values
E_form (uncorrected): -8.751 eV per formula unit
calculated density: 5904 kg/m3



Among the records above, which one has the lowest calculated density?
number 2